A relaxed LaPuOs4 crystal, computed with PBE.

a = 5.4111 Å, b = 5.4111 Å, c = 5.4111 Å
α = 60.00°, β = 60.00°, γ = 60.00°
With the nearest neighbours (Å) after each atom.
Positions (direct):
La1 0.0000 0.0000 0.0000  12 Os 3.17, 4 Pu 3.31
Pu1 0.7500 0.7500 0.7500  12 Os 3.17, 4 La 3.31
Os1 0.3754 0.3754 0.3754  6 Os 2.70-2.71
Os2 0.3754 0.3754 0.8738  6 Os 2.70-2.71
Os3 0.3754 0.8738 0.3754  6 Os 2.70-2.71
Os4 0.8738 0.3754 0.3754  6 Os 2.70-2.71

## Properties
Total magnetization, μB/atom: 0.604
Calculated formation energy, eV/atom: -0.063



A relaxed La2PuUOs2 crystal, computed with PBE.

a = 8.1279 Å, b = 8.1279 Å, c = 8.1279 Å
α = 128.26°, β = 75.59°, γ = 129.02°
With the nearest neighbours (Å) after each atom.
Positions (direct):
La1 0.1834 0.2497 0.4332  1 Os 3.00
La2 0.3166 0.7497 0.0663  1 Os 3.00
La3 0.6834 0.2503 0.9337  1 Os 3.00
La4 0.8166 0.7503 0.5668  1 Os 3.00
Pu1 0.2500 0.2500 0.0000  4 Os 2.81
Pu2 0.7500 0.7500 0.0000  4 Os 2.81
U1 0.2500 0.7500 0.5000  4 Os 2.62
U2 0.7500 0.2500 0.5000  4 Os 2.62
Os1 0.0834 0.7294 0.8127  2 U 2.62, 2 Pu 2.81
Os2 0.4166 0.2294 0.6460  2 U 2.62, 2 Pu 2.81
Os3 0.5834 0.7706 0.3540  2 U 2.62, 2 Pu 2.81
Os4 0.9166 0.2706 0.1873  2 U 2.62, 2 Pu 2.81

## Properties
Total magnetization, μB/atom: 1.075
Calculated formation energy, eV/atom: -0.037



A relaxed Rb2LaOs crystal, computed with PBE.

a = 13.6909 Å, b = 13.6909 Å, c = 13.6909 Å
α = 161.42°, β = 161.42°, γ = 26.39°
With the nearest neighbours (Å) after each atom.
Positions (direct):
Rb1 0.1196 0.6250 0.9946  4 Rb 3.09-3.16
Rb2 0.3750 0.3696 0.4946  4 Rb 3.09-3.16
Rb3 0.6304 0.1250 0.0054  4 Rb 3.09-3.16
Rb4 0.8750 0.8804 0.5054  4 Rb 3.09-3.16
La1 0.2500 0.7500 0.5000  4 Os 3.12
La2 0.5000 0.5000 0.0000  4 Os 3.12
Os1 0.0000 0.0000 0.0000  4 La 3.12
Os2 0.7500 0.2500 0.5000  4 La 3.12

## Properties
Total magnetization, μB/atom: 0.092
Calculated formation energy, eV/atom: 1.105
Energy above the lowest structure with this stoichiometry, eV/atom: 0.000



A relaxed Rb2LaOs crystal, computed with PBE.

a = 5.5566 Å, b = 5.5566 Å, c = 5.5566 Å
α = 60.00°, β = 60.00°, γ = 60.00°
With the nearest neighbours (Å) after each atom.
Positions (direct):
Rb1 0.2500 0.2500 0.2500  4 Os 3.40, 4 La 3.40
Rb2 0.7500 0.7500 0.7500  4 Os 3.40, 4 La 3.40
La1 0.0000 0.0000 0.0000  8 Rb 3.40
Os1 0.5000 0.5000 0.5000  8 Rb 3.40

## Properties
Total magnetization, μB/atom: 0.000
Calculated formation energy, eV/atom: 1.625
Energy above the lowest structure with this stoichiometry, eV/atom: 0.520



A relaxed RbLaOs3 crystal, computed with PBE.

a = 5.1107 Å, b = 5.1107 Å, c = 5.1107 Å
α = 90.00°, β = 90.00°, γ = 90.00°
With the nearest neighbours (Å) after each atom.
Positions (direct):
Rb1 0.0000 0.0000 0.0000  12 Os 3.61
La1 0.5000 0.5000 0.5000  6 Os 2.56
Os1 0.0000 0.5000 0.5000  2 La 2.56
Os2 0.5000 0.0000 0.5000  2 La 2.56
Os3 0.5000 0.5000 0.0000  2 La 2.56

## Properties
Total magnetization, μB/atom: 0.771
Calculated formation energy, eV/atom: 2.608
Energy above the lowest structure with this stoichiometry, eV/atom: 0.000



A relaxed RbLa3Os crystal, computed with PBE.

a = 5.4521 Å, b = 5.4521 Å, c = 5.4521 Å
α = 90.00°, β = 90.00°, γ = 90.00°
With the nearest neighbours (Å) after each atom.
Positions (direct):
Rb1 0.0000 0.0000 0.0000  6 La 2.73
La1 0.0000 0.0000 0.5000  2 Rb 2.73
La2 0.0000 0.5000 0.0000  2 Rb 2.73
La3 0.5000 0.0000 0.0000  2 Rb 2.73
Os1 0.5000 0.5000 0.5000  12 La 3.86

## Properties
Total magnetization, μB/atom: 0.133
Calculated formation energy, eV/atom: 1.878
Energy above the lowest structure with this stoichiometry, eV/atom: 1.786



A relaxed RbLa2Os crystal, computed with PBE.

a = 5.3823 Å, b = 5.3823 Å, c = 5.3823 Å
α = 60.00°, β = 60.00°, γ = 60.00°
With the nearest neighbours (Å) after each atom.
Positions (direct):
Rb1 0.0000 0.0000 0.0000  8 La 3.30
La1 0.2500 0.2500 0.2500  4 Os 3.30, 4 Rb 3.30
La2 0.7500 0.7500 0.7500  4 Os 3.30, 4 Rb 3.30
Os1 0.5000 0.5000 0.5000  8 La 3.30

## Properties
Total magnetization, μB/atom: 0.000
Calculated formation energy, eV/atom: 0.602
Energy above the lowest structure with this stoichiometry, eV/atom: 0.280



A relaxed RbLaOs3 crystal, computed with PBE.

a = 4.8440 Å, b = 4.8440 Å, c = 4.8440 Å
α = 90.00°, β = 90.00°, γ = 90.00°
With the nearest neighbours (Å) after each atom.
Positions (direct):
Rb1 0.0000 0.0000 0.0000  6 Os 2.42
La1 0.5000 0.5000 0.5000  12 Os 3.43
Os1 0.0000 0.0000 0.5000  2 Rb 2.42
Os2 0.0000 0.5000 0.0000  2 Rb 2.42
Os3 0.5000 0.0000 0.0000  2 Rb 2.42

## Properties
Total magnetization, μB/atom: 0.000
Calculated formation energy, eV/atom: 2.985
Energy above the lowest structure with this stoichiometry, eV/atom: 0.377



A relaxed RbLa3Os crystal, computed with PBE.

a = 5.8115 Å, b = 5.8115 Å, c = 5.8115 Å
α = 90.00°, β = 90.00°, γ = 90.00°
With the nearest neighbours (Å) after each atom.
Positions (direct):
Rb1 0.0000 0.0000 0.0000  12 La 4.11
La1 0.0000 0.5000 0.5000  2 Os 2.91
La2 0.5000 0.0000 0.5000  2 Os 2.91
La3 0.5000 0.5000 0.0000  2 Os 2.91
Os1 0.5000 0.5000 0.5000  6 La 2.91

## Properties
Total magnetization, μB/atom: 0.000
Calculated formation energy, eV/atom: 0.091
Energy above the lowest structure with this stoichiometry, eV/atom: 0.000



A relaxed RbLa2Os crystal, computed with PBE.

a = 8.5670 Å, b = 8.5670 Å, c = 8.5670 Å
α = 119.97°, β = 119.97°, γ = 90.05°
With the nearest neighbours (Å) after each atom.
Positions (direct):
Rb1 0.0000 0.0000 0.0000  12 La 5.01-5.04, 4 Rb 5.25, 4 Os 5.25
Rb2 0.7500 0.2500 0.5000  12 La 5.01-5.04, 4 Os 5.25, 4 Rb 5.25
La1 0.3728 0.6250 0.2478  2 Os 2.62
La2 0.3750 0.6228 0.7478  2 Os 2.62
La3 0.3772 0.1250 0.7522  2 Os 2.62
La4 0.8750 0.6272 0.2522  2 Os 2.62
Os1 0.2500 0.7500 0.5000  4 La 2.62
Os2 0.5000 0.5000 0.0000  4 La 2.62

## Properties
Total magnetization, μB/atom: 0.000
Calculated formation energy, eV/atom: 0.322
Energy above the lowest structure with this stoichiometry, eV/atom: 0.000